Record 1
! Sc2FeHAu PBE optimized geometry; values from VASP
! theoretical density: 7.8 Mg/m³
! D(E_F): 3.19 states/eV per cell
! SG: No. 123
! total DFT energy (no corrections): -6.020 eV/atom
! crystal system: tetragonal
&SYSTEM
  ibrav = 0, nat = 5, ntyp = 4
/
ATOMIC_SPECIES
Sc 44.96 Sc.upf
Fe 55.84 Fe.upf
H 1.01 H.upf
Au 196.97 Au.upf
CELL_PARAMETERS angstrom
4.5830 0.0000 0.0000
0.0000 4.5830 0.0000
0.0000 0.0000 3.4618
ATOMIC_POSITIONS crystal
Sc 0.0000 0.5000 0.0000
Sc 0.5000 0.0000 0.0000
Fe 0.0000 0.0000 0.5000
H 0.0000 0.0000 0.0000
Au 0.5000 0.5000 0.5000

=====

Record 2
! Si2AgPd2 PBE optimized geometry; values from VASP
! formation energy without anion corrections: -231 meV/atom
! energy above the most stable polymorph in this dataset: 63 meV per atom
! theoretical density: 7.7 Mg/m³
! D(E_F): 1.61 states/eV per cell
! SG: No. 139
! crystal system: tetragonal
&SYSTEM
  ibrav = 0, nat = 5, ntyp = 3
/
ATOMIC_SPECIES
Si 28.09 Si.upf
Ag 107.87 Ag.upf
Pd 106.42 Pd.upf
CELL_PARAMETERS angstrom
-1.8428 1.8428 5.9928
1.8428 -1.8428 5.9928
1.8428 1.8428 -5.9928
ATOMIC_POSITIONS crystal
Si 0.2500 0.7500 0.5000
Si 0.7500 0.2500 0.5000
Ag 0.0000 0.0000 0.0000
Pd 0.3828 0.3828 0.0000
Pd 0.6172 0.6172 0.0000

=====

Record 3
! CaMgTc2 PBE optimized geometry; values from VASP
! theoretical density: 5.6 Mg/m³
! energy of formation from the pure elements: 0.9736 eV/atom
! D(E_F): 5.73 states/eV per cell
! SG: No. 122
! crystal system: tetragonal
&SYSTEM
  ibrav = 0, nat = 8, ntyp = 3
/
ATOMIC_SPECIES
Ca 40.08 Ca.upf
Mg 24.30 Mg.upf
Tc 98.00 Tc.upf
CELL_PARAMETERS angstrom
-3.8477 3.8477 2.6099
3.8477 -3.8477 2.6099
3.8477 3.8477 -2.6099
ATOMIC_POSITIONS crystal
Ca 0.0000 0.0000 0.0000
Ca 0.7500 0.2500 0.5000
Mg 0.2500 0.7500 0.5000
Mg 0.5000 0.5000 0.0000
Tc 0.1554 0.6250 0.0304
Tc 0.3750 0.4054 0.5304
Tc 0.5946 0.1250 0.9696
Tc 0.8750 0.8446 0.4696

=====

Record 4
! DyHoCoRu PBE optimized geometry; values from VASP
! energy above the most stable polymorph in this dataset: 2 meV per atom
! theoretical density: 10.6 Mg/m³
! energy of formation from the pure elements: -0.2584 eV/atom
! D(E_F): 3.85 states/eV per cell
! SG: No. 216
! crystal system: cubic
&SYSTEM
  ibrav = 0, nat = 4, ntyp = 4
/
ATOMIC_SPECIES
Dy 162.50 Dy.upf
Ho 164.93 Ho.upf
Co 58.93 Co.upf
Ru 101.07 Ru.upf
CELL_PARAMETERS angstrom
0.0000 3.3625 3.3625
3.3625 0.0000 3.3625
3.3625 3.3625 0.0000
ATOMIC_POSITIONS crystal
Dy 0.0000 0.0000 0.0000
Ho 0.5000 0.5000 0.5000
Co 0.2500 0.2500 0.2500
Ru 0.7500 0.7500 0.7500